YTiAlIr2 after structural relaxation. Source: Alexandria via LeMat-Bulk, functional PBE-GGA.

Geometry as CIF:
```
data_YTiAlIr2
_chemical_formula_sum 'Y1 Ti1 Al1 Ir2'
_symmetry_space_group_name_H-M 'P 1'
_symmetry_Int_Tables_number 1
_symmetry_space_group_name_Hall 'P 1'
_cell_length_a 4.0282
_cell_length_b 4.0282
_cell_length_c 6.4197
_cell_angle_alpha 108.28
_cell_angle_beta 108.28
_cell_angle_gamma 90.00
loop_
_atom_site_label
_atom_site_type_symbol
_atom_site_fract_x
_atom_site_fract_y
_atom_site_fract_z
Y1 Y 0.0000 0.0000 0.0000
Ti1 Ti 0.2500 0.7500 0.5000
Al1 Al 0.7500 0.2500 0.5000
Ir1 Ir 0.6146 0.6146 0.2291
Ir2 Ir 0.3854 0.3854 0.7709
```

Output
- Symmetry: I-4m2 (119)
- Calculated density: 9.751 g cm⁻³
- Crystal system: tetragonal
- Total DFT energy (no corrections): -40.3 eV per cell
- Volume: 93.35 Å³ per cell